The following is a PBE-GGA calculation of a relaxed SrMg2Cd4Ag crystal, from Alexandria.

a b c (Å): 4.8549 4.8549 10.0921
angles (deg): 76.08 76.08 60.00
Atoms (fractional coordinates):
Cd  0.8683  0.8683  0.3950
Cd  0.3994  0.3994  0.8017
Cd  0.6006  0.6006  0.1983
Cd  0.1317  0.1317  0.6050
Mg  0.2394  0.2394  0.2819
Mg  0.7606  0.7606  0.7181
Sr  0.0000  0.0000  0.0000
Ag  0.5000  0.5000  0.5000

Computed properties:
Space group: R-3m, No. 166
Crystal system: trigonal
Energy of formation, eV per formula unit: -1.1

---

The following is a PBE-GGA calculation of a relaxed La2Ga4RhAu3 crystal, from Alexandria.

a b c (Å): 4.4059 4.4059 10.6964
angles (deg): 90.00 90.00 90.00
Atoms (fractional coordinates):
La  0.5000  0.0000  0.2522
La  0.0000  0.5000  0.7478
Au  0.5000  0.0000  0.8630
Au  0.0000  0.5000  0.1370
Au  0.0000  0.0000  0.5000
Ga  0.5000  0.5000  0.0000
Ga  0.0000  0.0000  0.0000
Ga  0.0000  0.5000  0.3763
Ga  0.5000  0.0000  0.6237
Rh  0.5000  0.5000  0.5000

Computed properties:
Space group: P-4m2, No. 115
Crystal system: tetragonal
Energy of formation, eV per formula unit: -7.1

---

The following is a PBE-GGA calculation of a relaxed Li2MoOs crystal, from Alexandria.

a b c (Å): 3.0623 3.0623 6.5880
angles (deg): 90.00 90.00 90.00
Atoms (fractional coordinates):
Li  0.0000  0.0000  0.9915
Li  0.5000  0.5000  0.2391
Mo  0.0000  0.0000  0.5331
Os  0.5000  0.5000  0.7363

Computed properties:
Space group: P4mm, No. 99
Crystal system: tetragonal
Energy of formation, eV per formula unit: 1.1
Energy relative to the lowest polymorph listed for this composition, meV per atom: 119

---

The following is a PBE-GGA calculation of a relaxed AlAsP2 crystal, from Alexandria.

a b c (Å): 6.0681 6.0681 3.5731
angles (deg): 89.99 89.99 32.92
Atoms (fractional coordinates):
Al  0.4692  0.4692  0.6248
As  0.2250  0.2250  0.1253
P  0.7829  0.7829  0.6251
P  0.0228  0.0228  0.1248

Computed properties:
Space group: Amm2, No. 38
Crystal system: orthorhombic
Energy of formation, eV per formula unit: 0.3
Energy relative to the lowest polymorph listed for this composition, meV per atom: 145

---

The following is a PBE-GGA calculation of a relaxed Hf6AgC crystal, from Alexandria.

a b c (Å): 5.7649 6.5691 6.0278
angles (deg): 67.50 63.94 55.67
Atoms (fractional coordinates):
Hf  0.4381  0.8011  0.7467
Hf  0.2314  0.9805  0.2339
Hf  0.5619  0.1989  0.2533
Hf  0.9522  0.6427  0.2139
Hf  0.7686  0.0195  0.7661
Hf  0.0478  0.3573  0.7861
Ag  0.5000  0.5000  0.5000
C  0.0000  0.0000  0.0000

Computed properties:
Space group: P-1, No. 2
Crystal system: triclinic
Energy of formation, eV per formula unit: 0.5

---

The following is a PBE-GGA calculation of a relaxed RbLa2ReTc crystal, from Alexandria.

a b c (Å): 5.7893 4.8262 5.7893
angles (deg): 90.00 90.00 90.00
Atoms (fractional coordinates):
La  0.0000  0.0000  0.5000
La  0.5000  0.0000  0.0000
Tc  0.0000  0.5000  0.0000
Rb  0.5000  0.5000  0.5000
Re  0.0000  0.0000  0.0000

Computed properties:
Space group: P4/mmm, No. 123
Crystal system: tetragonal
Energy of formation, eV per formula unit: 3.4